Density functional theory data (PBE-GGA) for a geometry-optimized NaTiSn structure.

Geometry as POSCAR:
```
NaTiSn
1.0
4.7893 -1.5754 0.0000
4.7893 1.5754 0.0000
-4.5884 0.0000 9.2435
Na Ti Sn
2 2 2
Cartesian
-1.0297 0.0000 3.7575
6.0199 0.0000 5.4860
3.3141 0.0000 0.7577
1.6761 0.0000 8.4858
-0.9458 0.0000 7.1807
5.9360 0.0000 2.0628
```

Output
**Calculated volume**: 23.25 A^3/atom
**Space-group type**: No. 12
**Total magnetic moment**: 0.000 μB per atom
**Formation energy**: 0.013 eV/atom